No. 1
Computed, not measured: LaSeSCl2 after structural relaxation at the GGA-PBE level of DFT.

Computed properties:
D(E_F) ... 0.383 states/eV/atom
Energy ... -4.149 eV per atom
Relative energy among the computed polymorphs ... 0.00 kcal/mol of atoms
Total magnetic moment ... 3.03 μB per formula unit
Raw formation energy ... -4.51 eV/f.u.

```
5
Lattice="5.549 0.000 0.000 0.000 5.549 0.000 0.000 0.000 5.722" Properties=species:S:1:pos:R:3 pbc="T T T"
S 0.000 0.000 2.861
Cl 0.000 2.775 0.000
Cl 2.775 0.000 0.000
Se 2.775 2.775 2.861
La 0.000 0.000 0.000
```



No. 2
Computed, not measured: LaSeSCl2 after structural relaxation at the GGA-PBE level of DFT.

Computed properties:
D(E_F) ... 1.053 states/eV/atom
Energy ... -3.787 eV per atom
Relative energy among the computed polymorphs ... 8.34 kcal/mol of atoms
Total magnetic moment ... 0.56 μB per formula unit
Raw formation energy ... -2.70 eV/f.u.

```
5
Lattice="5.156 0.000 0.000 0.000 5.156 0.000 0.000 0.000 4.928" Properties=species:S:1:pos:R:3 pbc="T T T"
S 0.000 0.000 2.464
Cl 0.000 2.578 0.000
Cl 2.578 0.000 0.000
Se 0.000 0.000 0.000
La 2.578 2.578 2.464
```



No. 3
Computed, not measured: La8SiS4Cl3 after structural relaxation at the GGA-PBE level of DFT.

Computed properties:
D(E_F) ... 0.533 states/eV/atom
Energy ... -5.997 eV per atom
Total magnetic moment ... 0.00 μB per formula unit
Raw formation energy ... -29.07 eV/f.u.

```
16
Lattice="-3.645 3.101 6.897 -7.457 -0.131 -3.882 4.602 -7.006 0.473" Properties=species:S:1:pos:R:3 pbc="T T T"
La -6.552 0.575 -1.236
La -4.312 -2.823 -1.010
La -0.343 -2.669 1.019
La -8.424 2.168 2.306
La 1.924 -6.203 1.182
La -6.157 -1.366 2.469
La -2.189 -1.213 4.498
La 0.052 -4.611 4.724
Si -3.728 -0.066 -1.941
S -1.823 1.551 3.449
S 0.478 -1.952 3.685
S 0.000 0.000 0.000
S 2.301 -3.503 0.237
Cl -5.551 1.485 1.508
Cl -3.250 -2.018 1.744
Cl -1.427 -3.568 -1.705
```



No. 4
Computed, not measured: LaSiS2Cl after structural relaxation at the GGA-PBE level of DFT.

Computed properties:
D(E_F) ... 0.386 states/eV/atom
Energy ... -4.441 eV per atom
Relative energy among the computed polymorphs ... 14.19 kcal/mol of atoms
Total magnetic moment ... 0.04 μB per formula unit
Raw formation energy ... -1.75 eV/f.u.

```
5
Lattice="5.572 0.000 0.000 0.000 5.572 0.000 0.000 0.000 5.341" Properties=species:S:1:pos:R:3 pbc="T T T"
S 0.000 2.786 0.000
S 2.786 0.000 0.000
Cl 0.000 0.000 2.671
Si 2.786 2.786 2.671
La 0.000 0.000 0.000
```



No. 5
Computed, not measured: La4SiSCl2 after structural relaxation at the GGA-PBE level of DFT.

Computed properties:
D(E_F) ... 0.545 states/eV/atom
Energy ... -5.709 eV per atom
Total magnetic moment ... 0.00 μB per formula unit
Raw formation energy ... -12.72 eV/f.u.

```
8
Lattice="-0.213 4.186 0.810 -7.400 -0.409 0.166 -2.231 -1.428 6.800" Properties=species:S:1:pos:R:3 pbc="T T T"
La -7.075 -1.373 5.240
La -2.770 3.722 2.536
La -6.049 1.423 2.307
La -3.796 0.926 5.469
Si -3.807 1.889 0.488
S -4.816 -0.919 3.483
Cl -2.231 -1.428 6.800
Cl -1.222 1.379 3.805
```



No. 6
Computed, not measured: La4SiS2Cl after structural relaxation at the GGA-PBE level of DFT.

Computed properties:
D(E_F) ... 0.444 states/eV/atom
Energy ... -6.116 eV per atom
Total magnetic moment ... 0.00 μB per formula unit
Raw formation energy ... -13.70 eV/f.u.

```
8
Lattice="-3.514 -1.115 -4.676 3.525 -4.536 -1.566 -3.303 -0.899 6.488" Properties=species:S:1:pos:R:3 pbc="T T T"
La -1.753 -3.028 -5.067
La 1.768 -4.740 -3.512
La -1.613 -1.465 2.039
La -1.681 -4.374 -1.007
Si 0.010 -5.297 -5.850
S 0.113 -3.775 1.293
S -3.407 -2.064 -0.261
Cl 0.005 -2.472 -2.730
```



No. 7
Computed, not measured: La6Si2S3Cl after structural relaxation at the GGA-PBE level of DFT.

Computed properties:
D(E_F) ... 0.392 states/eV/atom
Energy ... -6.162 eV per atom
Total magnetic moment ... 0.00 μB per formula unit
Raw formation energy ... -19.30 eV/f.u.

```
12
Lattice="-0.302 -1.127 -4.094 -8.107 -2.346 1.243 -0.624 9.469 -0.349" Properties=species:S:1:pos:R:3 pbc="T T T"
La -7.900 3.709 -0.440
La -5.141 1.042 -2.122
La -1.133 2.287 -2.760
La -2.177 -0.610 0.328
La -6.856 6.606 -3.528
La -3.892 4.954 -1.078
Si -6.124 3.852 -2.823
Si -2.909 2.144 -0.376
S -4.204 -1.737 -1.425
S -1.998 5.021 -3.449
S -7.035 0.975 0.249
Cl -0.151 -0.564 -2.047
```



No. 8
Computed, not measured: La8Si3SCl4 after structural relaxation at the GGA-PBE level of DFT.

Computed properties:
D(E_F) ... 0.674 states/eV/atom
Energy ... -5.627 eV per atom
Total magnetic moment ... 0.00 μB per formula unit
Raw formation energy ... -22.83 eV/f.u.

```
16
Lattice="-5.633 -5.635 3.173 -1.111 -3.314 -7.858 7.881 0.530 3.342" Properties=species:S:1:pos:R:3 pbc="T T T"
La 5.600 -3.244 -1.651
La 1.634 -3.511 -3.333
La 2.294 -2.058 0.418
La 2.766 -6.080 -0.054
La -1.630 -2.339 -1.289
La -1.159 -6.360 -1.762
La -0.498 -4.908 1.990
La -4.464 -5.175 0.308
Si -3.372 -4.474 -2.343
Si 0.568 -4.209 -0.672
Si 3.385 -1.392 -2.258
S -0.556 -1.657 -3.929
Cl -2.817 -2.818 1.586
Cl 1.124 -2.552 3.258
Cl 0.000 0.000 0.000
Cl 3.940 0.265 1.671
```



Look up the total magnetic moment of the fifth one. 0.00 μB per formula unit



What did the eighth record say?
Computed, not measured: La8Si3SCl4 after structural relaxation at the GGA-PBE level of DFT.

Computed properties:
D(E_F) ... 0.674 states/eV/atom
Energy ... -5.627 eV per atom
Total magnetic moment ... 0.00 μB per formula unit
Raw formation energy ... -22.83 eV/f.u.

```
16
Lattice="-5.633 -5.635 3.173 -1.111 -3.314 -7.858 7.881 0.530 3.342" Properties=species:S:1:pos:R:3 pbc="T T T"
La 5.600 -3.244 -1.651
La 1.634 -3.511 -3.333
La 2.294 -2.058 0.418
La 2.766 -6.080 -0.054
La -1.630 -2.339 -1.289
La -1.159 -6.360 -1.762
La -0.498 -4.908 1.990
La -4.464 -5.175 0.308
Si -3.372 -4.474 -2.343
Si 0.568 -4.209 -0.672
Si 3.385 -1.392 -2.258
S -0.556 -1.657 -3.929
Cl -2.817 -2.818 1.586
Cl 1.124 -2.552 3.258
Cl 0.000 0.000 0.000
Cl 3.940 0.265 1.671
```



Among the records above, which one has the lowest energy? La6Si2S3Cl